The following is a GGA-PBE calculation of a geometry-optimized TlCoBiW2 structure, from Alexandria via LeMat-Bulk.

Unit cell a=5.072 b=5.072 c=4.648 alpha=90.00 beta=90.00 gamma=90.00
Space group P4/mmm (No. 123)
Asymmetric unit:
Tl (0.000, 0.000, 0.000) [1 per cell]
Co (0.000, 0.000, 0.500) [1 per cell]
Bi (0.500, 0.500, 0.500) [1 per cell]
W (0.000, 0.500, 0.000) [2 per cell]

Calculated values
Calculated volume (Å³ per atom): 23.91
Energy (eV for the cell shown): -26.88
DOS(E_F) (states/eV/atom): 1.037
Formation energy from the elements (meV/atom): 2476.1